Record 1
DFT (PBEsol) results for crystalline La3NbBi at its relaxed geometry.

a = 5.457 Å, b = 5.457 Å, c = 5.457 Å
α = 90.00°, β = 90.00°, γ = 90.00°
Fractional positions:
La: 0.000 0.000 0.500
La: 0.000 0.500 0.000
La: 0.500 0.000 0.000
Nb: 0.000 0.000 0.000
Bi: 0.500 0.500 0.500

**Formation energy**: 0.9 kJ/mol of atoms
**M_tot**: 0.00 μB/cell
**Raw total energy**: -6.220 eV/atom

***

Record 2
DFT (PBEsol) results for crystalline GeIr3F at its relaxed geometry.

a = 4.540 Å, b = 4.540 Å, c = 4.540 Å
α = 90.00°, β = 90.00°, γ = 90.00°
Fractional positions:
Ge: 0.000 0.000 0.000
Ir: 0.000 0.000 0.500
Ir: 0.000 0.500 0.000
Ir: 0.500 0.000 0.000
F: 0.500 0.500 0.500

**Uncorrected formation energy**: 8.10 eV/f.u.
**M_tot**: 3.05 μB/cell
**Raw total energy**: -5.648 eV/atom

***

Record 3
DFT (PBEsol) results for crystalline BeCO2 at its relaxed geometry.

a = 3.437 Å, b = 3.437 Å, c = 3.437 Å
α = 60.00°, β = 60.00°, γ = 60.00°
Fractional positions:
Be: 0.000 0.000 0.000
C: 0.500 0.500 0.500
O: 0.250 0.250 0.250
O: 0.750 0.750 0.750

**Relative energy among the computed polymorphs**: 1498.0 meV per atom
**Uncorrected formation energy**: 3.82 eV/f.u.
**M_tot**: 0.00 μB/cell
**Raw total energy**: -5.080 eV/atom

***

Record 4
DFT (PBEsol) results for crystalline Na2V3O7 at its relaxed geometry.

a = 10.891 Å, b = 10.891 Å, c = 9.454 Å
α = 90.00°, β = 90.00°, γ = 120.00°
Fractional positions:
Na: 0.000 0.000 0.000
Na: 0.000 0.000 0.500
Na: 0.021 0.510 0.250
Na: 0.333 0.667 0.567
Na: 0.333 0.667 0.933
Na: 0.490 0.510 0.250
Na: 0.490 0.979 0.250
Na: 0.510 0.021 0.750
Na: 0.510 0.490 0.750
Na: 0.667 0.333 0.067
Na: 0.667 0.333 0.433
Na: 0.979 0.490 0.750
V: 0.119 0.802 0.402
V: 0.120 0.317 0.099
V: 0.157 0.313 0.750
V: 0.157 0.843 0.750
V: 0.197 0.880 0.099
V: 0.198 0.317 0.402
V: 0.313 0.157 0.250
V: 0.317 0.120 0.599
V: 0.317 0.198 0.902
V: 0.683 0.803 0.099
V: 0.683 0.881 0.402
V: 0.687 0.843 0.750
V: 0.802 0.119 0.902
V: 0.803 0.683 0.599
V: 0.843 0.157 0.250
V: 0.843 0.687 0.250
V: 0.880 0.197 0.599
V: 0.881 0.683 0.902
O: 0.040 0.295 0.289
O: 0.040 0.744 0.211
O: 0.072 0.244 0.566
O: 0.072 0.828 0.934
O: 0.155 0.479 0.063
O: 0.155 0.676 0.437
O: 0.172 0.244 0.934
O: 0.172 0.928 0.566
O: 0.243 0.487 0.750
O: 0.244 0.072 0.066
O: 0.244 0.172 0.434
O: 0.244 0.757 0.750
O: 0.255 0.960 0.289
O: 0.256 0.296 0.211
O: 0.295 0.040 0.789
O: 0.296 0.256 0.711
O: 0.324 0.479 0.437
O: 0.324 0.845 0.063
O: 0.479 0.155 0.563
O: 0.479 0.324 0.937
O: 0.487 0.243 0.250
O: 0.513 0.756 0.750
O: 0.521 0.676 0.063
O: 0.521 0.845 0.437
O: 0.676 0.155 0.937
O: 0.676 0.521 0.563
O: 0.704 0.960 0.211
O: 0.705 0.745 0.289
O: 0.744 0.040 0.711
O: 0.745 0.705 0.789
O: 0.756 0.513 0.250
O: 0.756 0.828 0.566
O: 0.756 0.928 0.934
O: 0.757 0.244 0.250
O: 0.828 0.072 0.434
O: 0.828 0.756 0.066
O: 0.845 0.324 0.563
O: 0.845 0.521 0.937
O: 0.928 0.172 0.066
O: 0.928 0.756 0.434
O: 0.960 0.255 0.789
O: 0.960 0.704 0.711

**Uncorrected formation energy**: -27.03 eV/f.u.
**M_tot**: 18.00 μB/cell
**Raw total energy**: -7.957 eV/atom

***

Record 5
DFT (PBEsol) results for crystalline TiCdAs2 at its relaxed geometry.

a = 4.674 Å, b = 4.674 Å, c = 4.674 Å
α = 60.00°, β = 60.00°, γ = 60.00°
Fractional positions:
Ti: 0.000 0.000 0.000
Cd: 0.500 0.500 0.500
As: 0.250 0.250 0.250
As: 0.750 0.750 0.750

**Formation energy**: -0.9 kJ/mol of atoms
**M_tot**: 0.01 μB/cell
**Raw total energy**: -4.943 eV/atom

***

Record 6
DFT (PBEsol) results for crystalline TlSi4Sb at its relaxed geometry.

a = 5.411 Å, b = 5.411 Å, c = 5.411 Å
α = 60.00°, β = 60.00°, γ = 60.00°
Fractional positions:
Tl: 0.000 0.000 0.000
Si: 0.124 0.625 0.625
Si: 0.625 0.124 0.625
Si: 0.625 0.625 0.124
Si: 0.625 0.625 0.625
Sb: 0.250 0.250 0.250

**Uncorrected formation energy**: 2.75 eV/f.u.
**M_tot**: 0.00 μB/cell
**Raw total energy**: -4.571 eV/atom

***

Record 7
DFT (PBEsol) results for crystalline MgSb2Ru at its relaxed geometry.

a = 4.542 Å, b = 4.542 Å, c = 3.738 Å
α = 90.00°, β = 90.00°, γ = 90.00°
Fractional positions:
Mg: 0.000 0.000 0.000
Sb: 0.000 0.500 0.500
Sb: 0.500 0.000 0.500
Ru: 0.500 0.500 0.000

**Uncorrected formation energy**: 0.61 eV/f.u.
**M_tot**: 0.00 μB/cell
**Raw total energy**: -5.097 eV/atom

***

Record 8
DFT (PBEsol) results for crystalline LaMoPb2 at its relaxed geometry.

a = 3.244 Å, b = 3.244 Å, c = 10.322 Å
α = 90.00°, β = 90.00°, γ = 110.70°
Fractional positions:
La: 0.000 0.000 0.000
Mo: 0.500 0.500 0.205
Pb: 0.000 0.000 0.416
Pb: 0.500 0.500 0.712

**Relative energy among the computed polymorphs**: 255.2 meV per atom
**Formation energy**: 37.0 kJ/mol of atoms
**M_tot**: 0.00 μB/cell
**Raw total energy**: -5.894 eV/atom

***

Record 9
DFT (PBEsol) results for crystalline LiTi2CdSb at its relaxed geometry.

a = 4.960 Å, b = 4.960 Å, c = 4.458 Å
α = 90.00°, β = 90.00°, γ = 90.00°
Fractional positions:
Li: 0.000 0.000 0.000
Ti: 0.000 0.500 0.500
Ti: 0.500 0.000 0.500
Cd: 0.000 0.000 0.500
Sb: 0.500 0.500 0.000

**Uncorrected formation energy**: 3.17 eV/f.u.
**M_tot**: 0.00 μB/cell
**Raw total energy**: -4.238 eV/atom

***

Record 10
DFT (PBEsol) results for crystalline BaCu8As4 at its relaxed geometry.

a = 7.580 Å, b = 7.580 Å, c = 7.580 Å
α = 93.76°, β = 93.76°, γ = 150.33°
Fractional positions:
Ba: 0.000 0.000 0.000
Cu: 0.018 0.375 0.392
Cu: 0.215 0.672 0.886
Cu: 0.328 0.215 0.543
Cu: 0.375 0.982 0.357
Cu: 0.625 0.018 0.643
Cu: 0.672 0.785 0.457
Cu: 0.785 0.328 0.114
Cu: 0.982 0.625 0.608
As: 0.244 0.429 0.673
As: 0.429 0.756 0.185
As: 0.571 0.244 0.815
As: 0.756 0.571 0.327

**Formation energy**: -21.4 kJ/mol of atoms
**M_tot**: 0.00 μB/cell
**Raw total energy**: -4.626 eV/atom

***

Record 11
DFT (PBEsol) results for crystalline TiSeN2 at its relaxed geometry.

a = 3.878 Å, b = 3.878 Å, c = 3.878 Å
α = 60.00°, β = 60.00°, γ = 60.00°
Fractional positions:
Ti: 0.000 0.000 0.000
Se: 0.500 0.500 0.500
N: 0.250 0.250 0.250
N: 0.750 0.750 0.750

**Relative energy among the computed polymorphs**: 1183.0 meV per atom
**Uncorrected formation energy**: 2.79 eV/f.u.
**M_tot**: 0.00 μB/cell
**Raw total energy**: -6.610 eV/atom

***

Record 12
DFT (PBEsol) results for crystalline NaMoN2 at its relaxed geometry.

a = 5.858 Å, b = 5.858 Å, c = 5.858 Å
α = 128.25°, β = 128.25°, γ = 76.23°
Fractional positions:
Na: 0.000 0.000 0.000
Na: 0.750 0.250 0.500
Mo: 0.250 0.750 0.500
Mo: 0.500 0.500 0.000
N: 0.226 0.625 0.101
N: 0.375 0.476 0.601
N: 0.524 0.125 0.899
N: 0.875 0.774 0.399

**Relative energy among the computed polymorphs**: 0.0 meV per atom
**Uncorrected formation energy**: -1.82 eV/f.u.
**M_tot**: 0.00 μB/cell
**Raw total energy**: -8.010 eV/atom

***

What are the ρ values for these records? In order: 7.34 11.86 3.07 3.19 7.13 6.50 7.94 10.61 5.10 7.53 6.24 4.05 g cm⁻³.
What are the calculated volume values for these records? In order: 32.50 18.71 7.18 13.49 18.05 18.67 19.28 25.40 21.93 16.03 10.31 15.06 Å³/atom.